1.
## PuAl3H12 (PBE)

Data for PuAl3H12 after structural relaxation.

The structure in POSCAR format:
```
PuAl3H12
1.0
-4.831 -6.293 0.254
2.488 -7.026 -2.727
1.733 -6.104 5.758
Pu Al H
2 6 24
Direct
0.046 0.046 0.861 Pu
0.546 0.546 0.361 Pu
0.642 0.373 0.005 Al
0.142 0.479 0.505 Al
0.873 0.142 0.505 Al
0.373 0.979 0.005 Al
0.979 0.642 0.005 Al
0.479 0.873 0.505 Al
0.120 0.074 0.076 H
0.202 0.238 0.630 H
0.002 0.935 0.454 H
0.853 0.378 0.818 H
0.353 0.450 0.318 H
0.502 0.109 0.954 H
0.702 0.430 0.130 H
0.935 0.609 0.454 H
0.620 0.230 0.576 H
0.930 0.202 0.630 H
0.878 0.353 0.318 H
0.230 0.574 0.576 H
0.109 0.435 0.954 H
0.730 0.120 0.076 H
0.378 0.950 0.818 H
0.430 0.738 0.130 H
0.738 0.702 0.130 H
0.435 0.502 0.954 H
0.574 0.620 0.576 H
0.950 0.853 0.818 H
0.450 0.878 0.318 H
0.074 0.730 0.076 H
0.238 0.930 0.630 H
0.609 0.002 0.454 H
```

total DFT energy (no corrections)	-131.50	eV for the cell shown
space group	R3c, No. 161


2.
## K2NpAgSe4 (PBE)

Data for K2NpAgSe4 after structural relaxation.

The structure in POSCAR format:
```
K2NpAgSe4
1.0
-2.558 -1.013 3.208
2.710 -7.559 -0.226
5.675 -0.605 4.334
K Np Ag Se
2 1 1 4
Direct
0.000 0.000 0.000 K
0.500 0.000 0.500 K
0.000 0.500 0.500 Np
0.500 0.500 0.000 Ag
0.000 0.690 0.756 Se
0.000 0.310 0.244 Se
0.500 0.709 0.283 Se
0.500 0.291 0.717 Se
```

total DFT energy (no corrections)	-39.18	eV for the cell shown
formation energy from raw total energies	-0.906	eV/atom
space group	P2/m, No. 10


3.
## BPPt4 (PBE)

Data for BPPt4 after structural relaxation.

The structure in POSCAR format:
```
BPPt4
1.0
4.342 0.000 0.000
0.000 4.314 0.017
0.000 -0.079 20.003
B P Pt
4 4 16
Direct
0.500 0.250 0.875 B
0.000 0.750 0.625 B
0.500 0.750 0.125 B
0.000 0.250 0.375 B
0.000 0.750 0.876 P
0.500 0.250 0.624 P
0.000 0.250 0.124 P
0.500 0.750 0.376 P
0.748 0.040 0.952 Pt
0.248 0.960 0.548 Pt
0.252 0.960 0.048 Pt
0.752 0.040 0.452 Pt
0.252 0.460 0.952 Pt
0.752 0.540 0.548 Pt
0.748 0.540 0.048 Pt
0.248 0.460 0.452 Pt
0.708 0.505 0.798 Pt
0.208 0.495 0.702 Pt
0.292 0.495 0.202 Pt
0.792 0.505 0.298 Pt
0.292 0.995 0.798 Pt
0.792 0.005 0.702 Pt
0.708 0.005 0.202 Pt
0.208 0.995 0.298 Pt
```

total DFT energy (no corrections)	-149.72	eV for the cell shown
ΔH_f (0 K)	-0.196	eV per atom
space group	Pbcn, No. 60


4.
## LiPa3Sn12 (PBE)

Data for LiPa3Sn12 after structural relaxation.

The structure in POSCAR format:
```
LiPa3Sn12
1.0
4.648 0.000 0.000
0.000 4.648 0.000
0.000 0.000 18.568
Li Pa Sn
1 3 12
Direct
0.000 0.000 0.000 Li
0.000 0.000 0.254 Pa
0.000 0.000 0.500 Pa
0.000 0.000 0.746 Pa
0.500 0.500 0.000 Sn
0.500 0.500 0.248 Sn
0.500 0.500 0.500 Sn
0.500 0.500 0.752 Sn
0.500 0.000 0.122 Sn
0.500 0.000 0.375 Sn
0.500 0.000 0.625 Sn
0.500 0.000 0.878 Sn
0.000 0.500 0.122 Sn
0.000 0.500 0.375 Sn
0.000 0.500 0.625 Sn
0.000 0.500 0.878 Sn
```

total DFT energy (no corrections)	-82.38	eV for the cell shown
ΔH_f (0 K)	-0.247	eV per atom
space group	P4/mmm, No. 123


5.
## AcMg2Ir (PBE)

Data for AcMg2Ir after structural relaxation.

The structure in POSCAR format:
```
AcMg2Ir
1.0
-2.871 -5.063 0.255
0.783 -0.028 8.274
-13.930 7.966 1.346
Ac Mg Ir
8 16 8
Direct
0.458 0.250 0.135 Ac
0.958 0.750 0.365 Ac
0.542 0.750 0.865 Ac
0.042 0.250 0.635 Ac
0.775 0.250 0.398 Ac
0.275 0.750 0.102 Ac
0.225 0.750 0.602 Ac
0.725 0.250 0.898 Ac
0.965 0.057 0.210 Mg
0.465 0.943 0.290 Mg
0.035 0.557 0.790 Mg
0.535 0.443 0.710 Mg
0.035 0.943 0.790 Mg
0.535 0.057 0.710 Mg
0.965 0.443 0.210 Mg
0.465 0.557 0.290 Mg
0.791 0.560 0.045 Mg
0.291 0.440 0.455 Mg
0.209 0.060 0.955 Mg
0.709 0.940 0.545 Mg
0.209 0.440 0.955 Mg
0.709 0.560 0.545 Mg
0.791 0.940 0.045 Mg
0.291 0.060 0.455 Mg
0.248 0.250 0.309 Ir
0.748 0.750 0.191 Ir
0.752 0.750 0.691 Ir
0.252 0.250 0.809 Ir
0.970 0.250 0.068 Ir
0.470 0.750 0.432 Ir
0.030 0.750 0.932 Ir
0.530 0.250 0.568 Ir
```

total DFT energy (no corrections)	-142.99	eV for the cell shown
ΔH_f (0 K)	-0.429	eV per atom
space group	Pnma, No. 62
energy relative to the lowest polymorph listed for this composition	0.011	eV/atom


6.
## BaSrFe (PBE)

Data for BaSrFe after structural relaxation.

The structure in POSCAR format:
```
BaSrFe
1.0
5.523 0.000 0.000
2.762 4.783 0.000
2.762 1.594 4.510
Ba Fe Sr
1 1 1
Direct
0.500 0.500 0.500 Ba
0.750 0.750 0.750 Fe
0.000 0.000 0.000 Sr
```

total DFT energy (no corrections)	-10.06	eV for the cell shown
ΔH_f (0 K)	0.671	eV per atom
space group	F-43m, No. 216
energy relative to the lowest polymorph listed for this composition	0.118	eV/atom


7.
## TaCu2SbN (PBE)

Data for TaCu2SbN after structural relaxation.

The structure in POSCAR format:
```
TaCu2SbN
1.0
4.912 0.000 0.000
0.000 5.313 0.000
0.000 0.000 4.912
Sb N Cu Ta
1 1 2 1
Direct
0.000 0.500 0.000 Sb
0.500 0.500 0.500 N
0.000 0.000 0.500 Cu
0.500 0.000 0.000 Cu
0.000 0.000 0.000 Ta
```

total DFT energy (no corrections)	-22.13	eV for the cell shown
formation energy from raw total energies	2.072	eV/atom
space group	P4/mmm, No. 123


8.
## NaZnCl (PBE)

Data for NaZnCl after structural relaxation.

The structure in POSCAR format:
```
NaZnCl
1.0
-4.054 0.666 1.831
0.335 -2.165 -3.995
0.986 -11.805 6.479
Zn Na Cl
2 2 2
Direct
0.448 0.896 0.000 Zn
0.444 0.889 0.500 Zn
0.609 0.218 0.250 Na
0.609 0.218 0.750 Na
0.278 0.556 0.750 Cl
0.278 0.556 0.250 Cl
```

total DFT energy (no corrections)	-13.31	eV for the cell shown
formation energy from raw total energies	-0.739	eV/atom
space group	Amm2, No. 38


> What is the formula in the sixth record?

BaSrFe


> Which formula does entry 3 have?

BPPt4


Repeat the third record exactly.
## BPPt4 (PBE)

Data for BPPt4 after structural relaxation.

The structure in POSCAR format:
```
BPPt4
1.0
4.342 0.000 0.000
0.000 4.314 0.017
0.000 -0.079 20.003
B P Pt
4 4 16
Direct
0.500 0.250 0.875 B
0.000 0.750 0.625 B
0.500 0.750 0.125 B
0.000 0.250 0.375 B
0.000 0.750 0.876 P
0.500 0.250 0.624 P
0.000 0.250 0.124 P
0.500 0.750 0.376 P
0.748 0.040 0.952 Pt
0.248 0.960 0.548 Pt
0.252 0.960 0.048 Pt
0.752 0.040 0.452 Pt
0.252 0.460 0.952 Pt
0.752 0.540 0.548 Pt
0.748 0.540 0.048 Pt
0.248 0.460 0.452 Pt
0.708 0.505 0.798 Pt
0.208 0.495 0.702 Pt
0.292 0.495 0.202 Pt
0.792 0.505 0.298 Pt
0.292 0.995 0.798 Pt
0.792 0.005 0.702 Pt
0.708 0.005 0.202 Pt
0.208 0.995 0.298 Pt
```

total DFT energy (no corrections)	-149.72	eV for the cell shown
ΔH_f (0 K)	-0.196	eV per atom
space group	Pbcn, No. 60